# 1
HfSe2N2: optimized geometry, GGA-PBE.

a = 4.062 Å, b = 4.062 Å, c = 5.786 Å
α = 90.00°, β = 90.00°, γ = 90.00°
Sites, in units of the cell vectors:
Hf (0.000, 0.000, 0.000)
Se (0.500, 0.500, 0.500)
Se (0.000, 0.000, 0.500)
N (0.000, 0.500, 0.000)
N (0.500, 0.000, 0.000)

## Properties
The value obtained for the relative energy among the computed polymorphs is 0 kJ/mol of formula units. As for the space-group type: P4/mmm. The formation energy (no corrections) comes out at 469 meV/atom. The value obtained for the magnetic moment is 0.00 μB/f.u. The value obtained for the total energy is -6.245 eV per atom. The volume is 19.096 Å³/atom. For the density of states at the Fermi level, the calculation gives 4.71 states/eV/f.u.


# 2
Hf6SeN: optimized geometry, GGA-PBE.

a = 5.779 Å, b = 5.779 Å, c = 6.487 Å
α = 63.55°, β = 63.56°, γ = 60.01°
Sites, in units of the cell vectors:
Hf (0.052, 0.404, 0.782)
Hf (0.762, 0.052, 0.782)
Hf (0.596, 0.238, 0.218)
Hf (0.238, 0.948, 0.218)
Hf (0.948, 0.596, 0.218)
Hf (0.404, 0.762, 0.782)
Se (0.500, 0.500, 0.500)
N (0.000, 0.000, 0.000)

## Properties
As for the space-group type: R-3. The formation energy (no corrections) comes out at -633 meV/atom. The value obtained for the magnetic moment is 0.00 μB/f.u. The value obtained for the total energy is -9.575 eV per atom. The volume is 20.117 Å³/atom. For the density of states at the Fermi level, the calculation gives 4.30 states/eV/f.u.


# 3
HfSe2N2: optimized geometry, GGA-PBE.

a = 4.089 Å, b = 4.089 Å, c = 4.220 Å
α = 90.00°, β = 90.00°, γ = 90.00°
Sites, in units of the cell vectors:
Hf (0.500, 0.500, 0.500)
Se (0.000, 0.500, 0.000)
Se (0.500, 0.000, 0.000)
N (0.000, 0.000, 0.000)
N (0.000, 0.000, 0.500)

## Properties
The value obtained for the relative energy among the computed polymorphs is 247 kJ/mol of formula units. As for the space-group type: P4/mmm. The formation energy (no corrections) comes out at 981 meV/atom. The value obtained for the magnetic moment is 0.00 μB/f.u. The value obtained for the total energy is -5.733 eV per atom. The volume is 14.115 Å³/atom. For the density of states at the Fermi level, the calculation gives 1.59 states/eV/f.u.


# 4
HfSeN2: optimized geometry, GGA-PBE.

a = 5.349 Å, b = 5.349 Å, c = 5.957 Å
α = 63.32°, β = 63.32°, γ = 90.00°
Sites, in units of the cell vectors:
Hf (0.000, 0.000, 0.000)
Hf (0.750, 0.250, 0.500)
Se (0.500, 0.500, 0.000)
Se (0.250, 0.750, 0.500)
N (0.679, 0.125, 0.250)
N (0.071, 0.625, 0.250)
N (0.375, 0.321, 0.750)
N (0.875, 0.929, 0.750)

## Properties
As for the space-group type: I-42d. The formation energy (no corrections) comes out at 104 meV/atom. The value obtained for the magnetic moment is 0.00 μB/f.u. The value obtained for the total energy is -7.418 eV per atom. The volume is 16.462 Å³/atom. For the density of states at the Fermi level, the calculation gives 1.80 states/eV/f.u.


# 5
HfSeN2: optimized geometry, GGA-PBE.

a = 6.560 Å, b = 6.560 Å, c = 6.560 Å
α = 28.74°, β = 28.74°, γ = 28.74°
Sites, in units of the cell vectors:
Hf (0.500, 0.500, 0.500)
Se (0.000, 0.000, 0.000)
N (0.893, 0.893, 0.893)
N (0.107, 0.107, 0.107)

## Properties
As for the space-group type: R-3m. The formation energy (no corrections) comes out at -477 meV/atom. The value obtained for the magnetic moment is 0.00 μB/f.u. The value obtained for the total energy is -8.000 eV per atom. The volume is 14.422 Å³/atom. For the density of states at the Fermi level, the calculation gives 1.56 states/eV/f.u.


# 6
HfSe2N2: optimized geometry, GGA-PBE.

a = 5.237 Å, b = 5.237 Å, c = 4.192 Å
α = 90.00°, β = 90.00°, γ = 90.00°
Sites, in units of the cell vectors:
Hf (0.000, 0.000, 0.000)
Se (0.000, 0.500, 0.000)
Se (0.500, 0.000, 0.000)
N (0.500, 0.500, 0.500)
N (0.000, 0.000, 0.500)

## Properties
The value obtained for the relative energy among the computed polymorphs is 276 kJ/mol of formula units. As for the space-group type: P4/mmm. The formation energy (no corrections) comes out at 1041 meV/atom. The value obtained for the magnetic moment is 3.84 μB/f.u. The value obtained for the total energy is -5.673 eV per atom. The volume is 22.995 Å³/atom. For the density of states at the Fermi level, the calculation gives 5.02 states/eV/f.u.


# 7
Hf4SeN: optimized geometry, GGA-PBE.

a = 6.705 Å, b = 6.705 Å, c = 6.705 Å
α = 106.85°, β = 106.85°, γ = 114.86°
Sites, in units of the cell vectors:
Hf (0.285, 0.974, 0.689)
Hf (0.716, 0.433, 0.716)
Hf (0.724, 0.535, 0.189)
Hf (0.183, 0.966, 0.216)
Hf (0.346, 0.535, 0.811)
Hf (0.750, 0.966, 0.784)
Hf (0.716, 0.000, 0.284)
Hf (0.285, 0.596, 0.311)
Se (0.233, 0.233, 0.000)
Se (0.983, 0.483, 0.500)
N (0.764, 0.764, 0.000)
N (0.514, 0.014, 0.500)

## Properties
As for the space-group type: I4_1md. The formation energy (no corrections) comes out at -741 meV/atom. The value obtained for the magnetic moment is 0.00 μB/f.u. The value obtained for the total energy is -9.345 eV per atom. The volume is 19.212 Å³/atom. For the density of states at the Fermi level, the calculation gives 3.52 states/eV/f.u.


# 8
HfSiSe2N: optimized geometry, GGA-PBE.

a = 5.037 Å, b = 3.331 Å, c = 5.037 Å
α = 90.00°, β = 90.00°, γ = 90.00°
Sites, in units of the cell vectors:
Si (0.000, 0.000, 0.000)
Hf (0.500, 0.500, 0.500)
Se (0.000, 0.000, 0.500)
Se (0.500, 0.000, 0.000)
N (0.000, 0.500, 0.000)

## Properties
The value obtained for the relative energy among the computed polymorphs is 0 kJ/mol of formula units. As for the space-group type: P4/mmm. The formation energy (no corrections) comes out at -67 meV/atom. The value obtained for the magnetic moment is 0.00 μB/f.u. The value obtained for the total energy is -6.201 eV per atom. The volume is 16.903 Å³/atom. For the density of states at the Fermi level, the calculation gives 1.98 states/eV/f.u.


# 9
HfSiSe2N: optimized geometry, GGA-PBE.

a = 5.280 Å, b = 5.280 Å, c = 3.997 Å
α = 90.00°, β = 90.00°, γ = 90.00°
Sites, in units of the cell vectors:
Si (0.500, 0.500, 0.500)
Hf (0.000, 0.000, 0.000)
Se (0.000, 0.500, 0.000)
Se (0.500, 0.000, 0.000)
N (0.000, 0.000, 0.500)

## Properties
The value obtained for the relative energy among the computed polymorphs is 86 kJ/mol of formula units. As for the space-group type: P4/mmm. The formation energy (no corrections) comes out at 111 meV/atom. The value obtained for the magnetic moment is 0.67 μB/f.u. The value obtained for the total energy is -6.023 eV per atom. The volume is 22.284 Å³/atom. For the density of states at the Fermi level, the calculation gives 2.43 states/eV/f.u.


# 10
HfSnSeN2: optimized geometry, GGA-PBE.

a = 4.177 Å, b = 4.177 Å, c = 5.513 Å
α = 90.00°, β = 90.00°, γ = 90.00°
Sites, in units of the cell vectors:
Hf (0.000, 0.000, 0.000)
Sn (0.500, 0.500, 0.500)
Se (0.000, 0.000, 0.500)
N (0.000, 0.500, 0.000)
N (0.500, 0.000, 0.000)

## Properties
The value obtained for the relative energy among the computed polymorphs is 0 kJ/mol of formula units. As for the space-group type: P4/mmm. The formation energy (no corrections) comes out at 32 meV/atom. The value obtained for the magnetic moment is 0.85 μB/f.u. The value obtained for the total energy is -6.787 eV per atom. The volume is 19.237 Å³/atom. For the density of states at the Fermi level, the calculation gives 2.75 states/eV/f.u.


# 11
HfSnSeN2: optimized geometry, GGA-PBE.

a = 4.068 Å, b = 4.068 Å, c = 5.204 Å
α = 90.00°, β = 90.00°, γ = 90.00°
Sites, in units of the cell vectors:
Hf (0.500, 0.500, 0.500)
Sn (0.000, 0.000, 0.000)
Se (0.000, 0.000, 0.500)
N (0.000, 0.500, 0.000)
N (0.500, 0.000, 0.000)

## Properties
The value obtained for the relative energy among the computed polymorphs is 420 kJ/mol of formula units. As for the space-group type: P4/mmm. The formation energy (no corrections) comes out at 903 meV/atom. The value obtained for the magnetic moment is 0.00 μB/f.u. The value obtained for the total energy is -5.915 eV per atom. The volume is 17.226 Å³/atom. For the density of states at the Fermi level, the calculation gives 1.78 states/eV/f.u.


# 12
SrHfSe2N: optimized geometry, GGA-PBE.

a = 5.503 Å, b = 5.503 Å, c = 4.220 Å
α = 90.00°, β = 90.00°, γ = 90.00°
Sites, in units of the cell vectors:
Sr (0.000, 0.000, 0.000)
Hf (0.500, 0.500, 0.500)
Se (0.000, 0.500, 0.000)
Se (0.500, 0.000, 0.000)
N (0.000, 0.000, 0.500)

## Properties
The value obtained for the relative energy among the computed polymorphs is 956 kJ/mol of formula units. As for the space-group type: P4/mmm. The formation energy (no corrections) comes out at 860 meV/atom. The value obtained for the magnetic moment is 0.00 μB/f.u. The value obtained for the total energy is -4.526 eV per atom. The volume is 25.552 Å³/atom. For the density of states at the Fermi level, the calculation gives 6.22 states/eV/f.u.